Computed, not measured: a relaxed AcCd3Cu8 crystal at the GGA-PBE level of DFT.

Values from the calculation:
Mass density in Mg/m³: 8.98
ΔE_f in meV per atom: -27
Electronic total energy in eV/atom: -3.329

a = 5.144 Å, b = 5.144 Å, c = 8.654 Å
α = 90.00°, β = 90.00°, γ = 120.00°
Positions (direct):
Cu 0.168 0.335 0.242
Cu 0.998 0.499 0.768
Cu 0.665 0.832 0.242
Cu 0.333 0.667 0.492
Cu 0.168 0.832 0.242
Cu 0.501 0.002 0.768
Cu 0.333 0.667 0.002
Cu 0.501 0.499 0.768
Ac 0.000 0.000 0.570
Cd 0.667 0.333 0.390
Cd 0.667 0.333 0.051
Cd 0.000 0.000 0.965

Computed, not measured: a relaxed Ac2CdCu crystal at the GGA-PBE level of DFT.

Values from the calculation:
Mass density in Mg/m³: 6.97
E above lowest polymorph in meV/atom: 417
ΔE_f in meV per atom: 232
Electronic total energy in eV/atom: -3.075

a = 3.927 Å, b = 3.927 Å, c = 11.455 Å
α = 80.13°, β = 80.13°, γ = 60.00°
Positions (direct):
Ac 0.895 0.895 0.315
Ac 0.105 0.105 0.685
Cu 0.500 0.500 0.500
Cd 0.000 0.000 0.000

Computed, not measured: a relaxed Ac3Cd9Cu2 crystal at the GGA-PBE level of DFT.

Values from the calculation:
Mass density in Mg/m³: 8.44
ΔE_f in meV per atom: -207
Electronic total energy in eV/atom: -2.261

a = 4.952 Å, b = 8.996 Å, c = 8.996 Å
α = 71.68°, β = 74.02°, γ = 74.02°
Positions (direct):
Cd 0.659 0.701 0.981
Cd 0.000 0.500 0.500
Cd 0.874 0.845 0.407
Cd 0.659 0.981 0.701
Cd 0.341 0.299 0.019
Cd 0.874 0.407 0.845
Cd 0.126 0.593 0.155
Cd 0.341 0.019 0.299
Cd 0.126 0.155 0.593
Ac 0.691 0.309 0.309
Ac 0.000 0.000 0.000
Ac 0.309 0.691 0.691
Cu 0.500 0.699 0.301
Cu 0.500 0.301 0.699

Computed, not measured: a relaxed Ac4Cd5Cu2 crystal at the GGA-PBE level of DFT.

Values from the calculation:
Mass density in Mg/m³: 8.10
ΔE_f in meV per atom: -226
Electronic total energy in eV/atom: -2.880

a = 4.146 Å, b = 7.962 Å, c = 9.941 Å
α = 94.23°, β = 90.00°, γ = 90.00°
Positions (direct):
Cd 0.000 0.811 0.847
Cd 0.000 0.189 0.153
Cd 0.000 0.556 0.307
Cd 0.000 0.444 0.693
Cd 0.000 0.500 0.000
Ac 0.500 0.759 0.560
Ac 0.500 0.830 0.141
Ac 0.500 0.241 0.440
Ac 0.500 0.170 0.859
Cu 0.000 0.059 0.626
Cu 0.000 0.941 0.374